Below is AlTlW at its PBEsol-relaxed geometry, with properties calculated at the meta-GGA SCAN level.

Properties
Its space group is No. 156. For the total magnetic moment, the calculation gives 0.0 μB/cell. The calculation puts the total energy at -49.135 eV per atom.

```
data_AlTlW
_cell_length_a 4.6846
_cell_length_b 4.6846
_cell_length_c 2.7682
_cell_angle_alpha 90.00
_cell_angle_beta 90.00
_cell_angle_gamma 120.00
_symmetry_space_group_name_H-M 'P 1'
_symmetry_Int_Tables_number 1
loop_
_symmetry_equiv_pos_as_xyz
'x,y,z'
loop_
_atom_site_label
_atom_site_type_symbol
_atom_site_fract_x
_atom_site_fract_y
_atom_site_fract_z
_atom_site_occupancy
Al1 Al 0.0000 0.0000 0.0000 1
Tl1 Tl 0.6667 0.3333 0.9908 1
W1 W 0.3333 0.6667 0.4949 1
```